1.
Below is crystalline LaHo2Er6Tm3 at its relaxed geometry, with properties calculated at the PBE level.

Cell lengths 6.104, 6.104, 11.688 Å; angles 94.99, 94.99, 119.95 degrees
Sites, in units of the cell vectors:
La 0.000 0.000 0.000
Ho 0.333 0.667 0.000
Ho 0.667 0.333 0.000
Er 0.915 0.580 0.746
Er 0.751 0.751 0.254
Er 0.085 0.420 0.254
Er 0.580 0.915 0.746
Er 0.249 0.249 0.746
Er 0.420 0.085 0.254
Tm 0.167 0.833 0.500
Tm 0.833 0.167 0.500
Tm 0.500 0.500 0.500


2.
Below is crystalline La2Ho6Er3Tm at its relaxed geometry, with properties calculated at the PBE level.

Cell lengths 6.159, 6.159, 11.774 Å; angles 94.99, 94.99, 119.99 degrees
Sites, in units of the cell vectors:
La 0.334 0.666 0.000
La 0.666 0.334 0.000
Ho 0.915 0.583 0.745
Ho 0.754 0.754 0.255
Ho 0.085 0.417 0.255
Ho 0.583 0.915 0.745
Ho 0.246 0.246 0.745
Ho 0.417 0.085 0.255
Er 0.166 0.834 0.500
Er 0.834 0.166 0.500
Er 0.500 0.500 0.500
Tm 0.000 0.000 0.000


3.
Below is crystalline LaHo2ErTm2 at its relaxed geometry, with properties calculated at the PBE level.

Cell lengths 3.518, 15.968, 6.906 Å; angles 90.00, 90.00, 90.00 degrees
Sites, in units of the cell vectors:
La 0.000 0.000 0.000
La 0.500 0.500 0.500
Ho 0.500 0.841 0.251
Ho 0.500 0.159 0.749
Ho 0.000 0.659 0.751
Ho 0.000 0.341 0.249
Er 0.500 0.500 0.000
Er 0.000 0.000 0.500
Tm 0.500 0.156 0.251
Tm 0.000 0.656 0.249
Tm 0.500 0.844 0.749
Tm 0.000 0.344 0.751


4.
Below is crystalline LaHo6Er2Tm3 at its relaxed geometry, with properties calculated at the PBE level.

Cell lengths 6.114, 6.114, 11.714 Å; angles 94.98, 94.98, 119.96 degrees
Sites, in units of the cell vectors:
La 0.000 0.000 0.000
Ho 0.915 0.580 0.747
Ho 0.750 0.750 0.254
Ho 0.085 0.420 0.253
Ho 0.580 0.915 0.747
Ho 0.250 0.250 0.746
Ho 0.420 0.085 0.253
Er 0.333 0.667 0.000
Er 0.667 0.333 0.000
Tm 0.167 0.833 0.500
Tm 0.833 0.167 0.500
Tm 0.500 0.500 0.500


5.
Below is crystalline LaHoEr3Tm at its relaxed geometry, with properties calculated at the PBE level.

Cell lengths 5.567, 10.180, 7.159 Å; angles 90.37, 90.00, 105.87 degrees
Sites, in units of the cell vectors:
La 0.359 0.718 0.972
La 0.641 0.282 0.028
Ho 0.652 0.305 0.450
Ho 0.348 0.695 0.550
Er 0.836 0.672 0.282
Er 0.778 0.556 0.763
Er 0.476 0.951 0.280
Er 0.222 0.444 0.237
Er 0.524 0.049 0.720
Er 0.164 0.328 0.718
Tm 0.055 0.111 0.296
Tm 0.945 0.889 0.704


6.
Below is crystalline LaHo6Er2Tm at its relaxed geometry, with properties calculated at the PBE level.

Cell lengths 9.364, 8.766, 8.766 Å; angles 116.91, 92.60, 92.60 degrees
Sites, in units of the cell vectors:
La 0.250 0.967 0.033
La 0.750 0.033 0.967
Ho 0.058 0.124 0.757
Ho 0.442 0.243 0.876
Ho 0.942 0.876 0.243
Ho 0.558 0.757 0.124
Ho 0.319 0.990 0.444
Ho 0.181 0.556 0.010
Ho 0.681 0.010 0.556
Ho 0.819 0.444 0.990
Ho 0.113 0.710 0.483
Ho 0.387 0.517 0.290
Ho 0.887 0.290 0.517
Ho 0.613 0.483 0.710
Er 0.448 0.797 0.692
Er 0.052 0.308 0.203
Er 0.552 0.203 0.308
Er 0.948 0.692 0.797
Tm 0.250 0.412 0.588
Tm 0.750 0.588 0.412


7.
Below is crystalline LaHo2ErTm4 at its relaxed geometry, with properties calculated at the PBE level.

Cell lengths 7.054, 12.220, 12.203 Å; angles 146.42, 106.65, 90.05 degrees
Sites, in units of the cell vectors:
La 0.500 0.500 0.500
La 0.000 0.000 0.000
Ho 0.500 0.000 0.000
Ho 0.500 0.000 0.500
Ho 0.000 0.000 0.500
Ho 0.500 0.500 0.000
Er 0.000 0.500 0.000
Er 0.000 0.500 0.500
Tm 0.252 0.748 0.001
Tm 0.752 0.249 0.501
Tm 0.248 0.752 0.499
Tm 0.748 0.252 0.999
Tm 0.752 0.749 0.003
Tm 0.749 0.751 0.497
Tm 0.252 0.249 0.503
Tm 0.248 0.251 0.997


8.
Below is crystalline La2Ho5ErTm at its relaxed geometry, with properties calculated at the PBE level.

Cell lengths 5.619, 10.292, 10.682 Å; angles 90.00, 90.00, 105.84 degrees
Sites, in units of the cell vectors:
La 0.885 0.769 0.818
La 0.113 0.225 0.734
La 0.115 0.231 0.318
La 0.887 0.775 0.234
Ho 0.387 0.773 0.021
Ho 0.719 0.438 0.808
Ho 0.481 0.961 0.740
Ho 0.299 0.599 0.706
Ho 0.983 0.967 0.523
Ho 0.613 0.227 0.521
Ho 0.281 0.562 0.308
Ho 0.519 0.039 0.240
Ho 0.701 0.401 0.206
Ho 0.017 0.033 0.023
Er 0.588 0.176 0.962
Er 0.412 0.824 0.462
Tm 0.800 0.600 0.512
Tm 0.200 0.400 0.012


| no. | electronic total energy (eV per atom) | DOS(E_F) (states/eV/f.u.) |
| --- | --- | --- |
| 1 | -4.5461 | 16.72 |
| 2 | -4.5984 | 16.32 |
| 3 | -4.4244 | 8.76 |
| 4 | -4.5520 | 16.47 |
| 5 | -4.3831 | 8.88 |
| 6 | -4.4766 | 15.20 |
| 7 | -4.5412 | 10.60 |
| 8 | -4.5027 | 11.91 |